Record 1
Density functional theory data (PBE-GGA) for crystalline KAgRh3 at its relaxed geometry.

As for the formation energy: 1.4191 eV/atom. The calculation puts the offset from the most stable computed form at 0.000 eV per atom.

```
data_KAgRh3
_chemical_formula_sum 'K1 Ag1 Rh3'
_cell_length_a 4.9828
_cell_length_b 4.9828
_cell_length_c 4.9828
_cell_angle_alpha 90.00
_cell_angle_beta 90.00
_cell_angle_gamma 90.00
_symmetry_space_group_name_H-M 'P m -3 m'
_symmetry_Int_Tables_number 221
_symmetry_space_group_name_Hall '-P 4 2 3'
loop_
_atom_site_label
_atom_site_fract_x
_atom_site_fract_y
_atom_site_fract_z
_atom_site_occupancy
K1 0.0000 0.0000 0.0000 1
Ag1 0.5000 0.5000 0.5000 1
Rh1 0.0000 0.5000 0.5000 1
```

Record 2
Density functional theory data (PBE-GGA) for crystalline Na2Cu3As5 at its relaxed geometry.

As for the formation energy: -0.1234 eV/atom.

```
data_Na2Cu3As5
_chemical_formula_sum 'Na8 Cu12 As20'
_cell_length_a 10.2053
_cell_length_b 12.0271
_cell_length_c 6.2161
_cell_angle_alpha 90.00
_cell_angle_beta 90.00
_cell_angle_gamma 90.00
_symmetry_space_group_name_H-M 'I b a m'
_symmetry_Int_Tables_number 72
_symmetry_space_group_name_Hall '-I 2 2c'
loop_
_atom_site_label
_atom_site_fract_x
_atom_site_fract_y
_atom_site_fract_z
_atom_site_occupancy
Na1 0.2388 0.1290 0.0000 1
Cu1 0.0000 0.5000 0.2500 1
Cu2 0.1155 0.1334 0.5000 1
As1 0.0000 0.0000 0.2500 1
As2 0.0000 0.2663 0.2500 1
As3 0.1482 0.3938 0.0000 1
```

Record 3
Density functional theory data (PBE-GGA) for crystalline Be2As2S at its relaxed geometry.

The calculation puts the offset from the most stable computed form at 0.088 eV per atom. The energy relative to the elements, uncorrected comes out at 465 meV per atom.

```
data_Be2As2S
_chemical_formula_sum 'Be4 As4 S2'
_cell_length_a 6.9617
_cell_length_b 6.9617
_cell_length_c 3.2419
_cell_angle_alpha 90.00
_cell_angle_beta 90.00
_cell_angle_gamma 90.00
_symmetry_space_group_name_H-M 'P 4/m b m'
_symmetry_Int_Tables_number 127
_symmetry_space_group_name_Hall '-P 4 2ab'
loop_
_atom_site_label
_atom_site_fract_x
_atom_site_fract_y
_atom_site_fract_z
_atom_site_occupancy
Be1 0.1125 0.3875 0.0000 1
As1 0.2035 0.7035 0.5000 1
S1 0.0000 0.0000 0.5000 1
```

Record 4
Density functional theory data (PBE-GGA) for crystalline La2Pm6Sm at its relaxed geometry.

As for the formation energy: 0.0489 eV/atom.

```
data_La2Pm6Sm
_chemical_formula_sum 'La4 Pm12 Sm2'
_cell_length_a 10.0395
_cell_length_b 17.4598
_cell_length_c 3.5804
_cell_angle_alpha 90.00
_cell_angle_beta 90.00
_cell_angle_gamma 90.00
_symmetry_space_group_name_H-M 'C m m m'
_symmetry_Int_Tables_number 65
_symmetry_space_group_name_Hall '-C 2 2'
loop_
_atom_site_label
_atom_site_fract_x
_atom_site_fract_y
_atom_site_fract_z
_atom_site_occupancy
La1 0.0000 0.1668 0.0000 1
Pm1 0.1664 0.3343 0.5000 1
Pm2 0.1687 0.0000 0.5000 1
Sm1 0.0000 0.5000 0.0000 1
```

no.,total moment (Bohr magnetons per cell),V (Å³ per cell)
1,2.580,124
2,0.000,763
3,0.000,157
4,0.000,628